Entry 1:
K3Hg8Sb3 | PBE | relaxed

As for the calculated total energy: -1.4857 eV per atom. The total magnetization is 0.000 μB/atom. The value obtained for the density of states at the Fermi level is 0.30 states/eV/atom. The space group is C2/m, No. 12. The calculation puts the energy relative to the elements, uncorrected at -195 meV per atom.

a b c (Å): 5.267 9.826 9.611
angles (deg): 64.02 74.10 74.45
Positions (direct):
K  0.295  0.707  0.702
K  0.705  0.293  0.298
K  0.000  0.000  0.000
Hg  0.143  0.140  0.575
Hg  0.857  0.860  0.425
Hg  0.843  0.444  0.870
Hg  0.157  0.556  0.130
Hg  0.496  0.680  0.329
Hg  0.504  0.320  0.671
Hg  0.346  0.011  0.298
Hg  0.654  0.989  0.702
Sb  0.000  0.500  0.500
Sb  0.649  0.712  0.990
Sb  0.351  0.288  0.010


Entry 2:
Si2PAu | PBE | relaxed

As for the calculated total energy: -4.7985 eV per atom. The total magnetization is 0.000 μB/atom. The value obtained for the density of states at the Fermi level is 0.31 states/eV/atom. The space group is P4mm, No. 99. The calculation puts the energy relative to the elements, uncorrected at 85 meV per atom.

a b c (Å): 3.538 3.539 5.451
angles (deg): 90.00 90.00 90.00
Positions (direct):
Au  0.000  0.000  0.353
P  0.500  0.500  0.844
Si  0.000  0.000  0.874
Si  0.500  0.500  0.429